(1)
Co2SiTc: relaxed, PBE.

Cell: 3.591 3.591 3.657 Å, 90.00 90.00 90.00°
Fractional coordinates of all 4 atoms:
Si1 0.500 0.000 0.500
Co1 0.500 0.500 0.000
Co2 0.000 0.000 0.000
Tc1 0.000 0.500 0.500

Values from the calculation:
The final energy comes out at -7.62 eV/atom. The calculation puts the formation energy (no corrections) at -12 kJ/mol of atoms. The value obtained for the density of states at the Fermi level is 1.636 states/eV per atom.

***

(2)
TbYBr6: relaxed, PBE.

Cell: 7.068 7.069 7.610 Å, 62.32 62.32 60.00°
Fractional coordinates of all 8 atoms:
Br1 0.408 0.750 0.750
Br2 0.251 0.907 0.250
Br3 0.749 0.093 0.750
Br4 0.093 0.408 0.750
Br5 0.592 0.250 0.250
Br6 0.907 0.592 0.250
Tb1 0.000 0.000 0.000
Y1 0.500 0.500 0.500

Values from the calculation:
The final energy comes out at -4.47 eV/atom. The calculation puts the formation energy (no corrections) at -176 kJ/mol of atoms. The value obtained for the density of states at the Fermi level is 0.000 states/eV per atom. The calculation puts the excess energy over the best structure of this formula in the dataset at 0.15 eV/f.u.